*1*
DFT (PBE) results for crystalline Mg2Ru2Au at its relaxed geometry.

Cell: 4.9629 4.9629 5.2027 Å, 61.51 61.51 90.00°
Atoms (fractional coordinates):
Ru  0.3522  0.3522  0.2955
Ru  0.6478  0.6478  0.7045
Mg  0.7500  0.2500  0.5000
Mg  0.2500  0.7500  0.5000
Au  0.0000  0.0000  0.0000

Values from the calculation:
DOS at the Fermi energy ... 4.3 states/eV per cell
Theoretical density ... 7.86 Mg/m³
Crystal system ... tetragonal

*2*
DFT (PBE) results for crystalline Mg2Ru2Au at its relaxed geometry.

Cell: 6.7890 6.7890 3.8072 Å, 90.00 90.00 90.00°
Each line ends with the local moment (μB).
Atoms (fractional coordinates):
Ru  0.3789  0.8789  0.0000  0.40
Ru  0.8789  0.6211  0.0000  0.40
Ru  0.6211  0.1211  0.0000  0.40
Ru  0.1211  0.3789  0.0000  0.40
Mg  0.1760  0.6760  0.5000  0.00
Mg  0.6760  0.8240  0.5000  0.00
Mg  0.8240  0.3240  0.5000  0.00
Mg  0.3240  0.1760  0.5000  0.00
Au  0.0000  0.0000  0.0000  0.00
Au  0.5000  0.5000  0.0000  0.00

Values from the calculation:
DOS at the Fermi energy ... 4.0 states/eV per cell
Theoretical density ... 8.47 Mg/m³
Crystal system ... tetragonal

Ranked by calculated energy, most stable first: *2*, *1*.